(1)
A plane-wave DFT calculation with PBEsol was carried out for crystalline Li2ZnNi at its relaxed geometry.

Cell: 2.5112 2.5112 7.9810 Å, 90.00 90.00 90.00°
Closest atoms and distances in Å follow each position.
Fractional coordinates of all 4 atoms:
Li1 0.0000 0.0000 0.7718  4 Li 2.51, 4 Ni 2.54, 4 Zn 2.80
Li2 0.0000 0.0000 0.2282  4 Li 2.51, 4 Ni 2.54, 4 Zn 2.80
Ni1 0.5000 0.5000 0.0000  4 Ni 2.51, 8 Li 2.54
Zn1 0.5000 0.5000 0.5000  4 Zn 2.51, 8 Li 2.80

Results
* total DFT energy (no corrections): -2.909 eV/atom
* formation enthalpy at 0 K: 4 kJ/mol of formula units
* space-group type: P4/mmm (123)

(2)
A plane-wave DFT calculation with PBEsol was carried out for crystalline KP2Au5S8 at its relaxed geometry.

Cell: 10.0493 11.7789 13.4294 Å, 90.00 90.00 106.14°
Closest atoms and distances in Å follow each position.
Fractional coordinates of all 64 atoms:
K1 0.6885 0.3394 0.7539  6 S 3.19-3.41
K2 0.3115 0.1606 0.2539  6 S 3.19-3.41
K3 0.3115 0.6606 0.2461  6 S 3.19-3.41
K4 0.6885 0.8394 0.7461  6 S 3.19-3.41
P1 0.9381 0.1226 0.8179  4 S 2.03-2.15
P2 0.0619 0.8774 0.1821  4 S 2.03-2.15
P3 0.4086 0.7163 0.9464  4 S 2.04-2.15
P4 0.0619 0.3774 0.3179  4 S 2.03-2.15
P5 0.5914 0.7837 0.4464  4 S 2.04-2.15
P6 0.4086 0.2163 0.5536  4 S 2.04-2.15
P7 0.5914 0.2837 0.0536  4 S 2.04-2.15
P8 0.9381 0.6226 0.6821  4 S 2.03-2.15
Au1 0.1112 0.4434 0.5502  2 S 2.29-2.30
Au2 0.8888 0.5566 0.4498  2 S 2.29-2.30
Au3 0.7679 0.9500 0.2636  2 S 2.31
Au4 0.2437 0.3069 0.7458  2 S 2.33
Au5 0.7679 0.4500 0.2364  2 S 2.31
Au6 0.9404 0.3477 0.0872  2 S 2.30-2.31
Au7 0.4412 0.4304 0.9032  2 S 2.29
Au8 0.4412 0.9304 0.5968  2 S 2.29
Au9 0.7563 0.6931 0.2542  2 S 2.33
Au10 0.8888 0.0566 0.0502  2 S 2.29-2.30
Au11 0.5588 0.5696 0.0968  2 S 2.29
Au12 0.2321 0.0500 0.7364  2 S 2.31
Au13 0.2321 0.5500 0.7636  2 S 2.31
Au14 0.0596 0.6523 0.9128  2 S 2.30-2.31
Au15 0.1112 0.9434 0.9498  2 S 2.29-2.30
Au16 0.5588 0.0696 0.4032  2 S 2.29
Au17 0.7563 0.1931 0.2458  2 S 2.33
Au18 0.2437 0.8069 0.7542  2 S 2.33
Au19 0.0596 0.1523 0.5872  2 S 2.30-2.31
Au20 0.9404 0.8477 0.4128  2 S 2.30-2.31
S1 0.9869 0.5300 0.3011  1 P 2.15, 2 Au 2.29-2.31
S2 0.2312 0.9274 0.0925  1 P 2.03
S3 0.5883 0.6289 0.3772  1 P 2.04
S4 0.9150 0.7382 0.1239  1 P 2.03
S5 0.4258 0.7434 0.5406  1 P 2.04
S6 0.5883 0.1289 0.1228  1 P 2.04
S7 0.2306 0.6243 0.0160  1 P 2.04
S8 0.7694 0.8757 0.5160  1 P 2.04
S9 0.5467 0.8916 0.3291  1 P 2.15, 2 Au 2.29-2.31
S10 0.4258 0.2434 0.9594  1 P 2.04
S11 0.4117 0.3711 0.6228  1 P 2.04
S12 0.2312 0.4274 0.4075  1 P 2.03
S13 0.7688 0.0726 0.9075  1 P 2.03
S14 0.9150 0.2382 0.3761  1 P 2.03
S15 0.5467 0.3916 0.1709  1 P 2.15, 2 Au 2.29-2.31
S16 0.7694 0.3757 0.9840  1 P 2.04
S17 0.8628 0.1438 0.6793  1 P 2.05
S18 0.4533 0.1084 0.6709  1 P 2.15, 2 Au 2.29-2.31
S19 0.8628 0.6438 0.8207  1 P 2.05
S20 0.4533 0.6083 0.8291  1 P 2.15, 2 Au 2.29-2.31
S21 0.5742 0.2566 0.4594  1 P 2.04
S22 0.0850 0.7618 0.6239  1 P 2.03
S23 0.0850 0.2618 0.8761  1 P 2.03
S24 0.0131 0.4700 0.6989  1 P 2.15, 2 Au 2.29-2.31
S25 0.4117 0.8711 0.8772  1 P 2.04
S26 0.9869 0.0300 0.1989  1 P 2.15, 2 Au 2.29-2.31
S27 0.1372 0.3562 0.1793  1 P 2.05
S28 0.7688 0.5726 0.5925  1 P 2.03
S29 0.0131 0.9700 0.8011  1 P 2.15, 2 Au 2.29-2.31
S30 0.2306 0.1243 0.4840  1 P 2.04
S31 0.1372 0.8562 0.3207  1 P 2.05
S32 0.5742 0.7566 0.0406  1 P 2.04

Results
* total DFT energy (no corrections): -4.502 eV/atom
* uncorrected formation energy: -0.29 eV/atom
* space-group type: P2_1/c (14)

(3)
A plane-wave DFT calculation with PBEsol was carried out for crystalline Cs2CuSbCl6 at its relaxed geometry.

Cell: 7.2522 7.2522 7.2522 Å, 60.00 60.00 60.00°
Closest atoms and distances in Å follow each position.
Fractional coordinates of all 10 atoms:
Cs1 0.7500 0.7500 0.7500  12 Cl 3.63
Cs2 0.2500 0.2500 0.2500  12 Cl 3.63
Cu1 0.5000 0.5000 0.5000  6 Cl 2.47
Sb1 0.0000 0.0000 0.0000  6 Cl 2.66
Cl1 0.7404 0.2596 0.2596  1 Cu 2.47, 1 Sb 2.66
Cl2 0.7404 0.7404 0.2596  1 Cu 2.47, 1 Sb 2.66
Cl3 0.2596 0.7404 0.7404  1 Cu 2.47, 1 Sb 2.66
Cl4 0.7404 0.2596 0.7404  1 Cu 2.47, 1 Sb 2.66
Cl5 0.2596 0.7404 0.2596  1 Cu 2.47, 1 Sb 2.66
Cl6 0.2596 0.2596 0.7404  1 Cu 2.47, 1 Sb 2.66

Results
* total DFT energy (no corrections): -3.551 eV/atom
* uncorrected formation energy: -1.27 eV/atom
* space-group type: Fm-3m (225)

(4)
A plane-wave DFT calculation with PBEsol was carried out for crystalline LiScGe2Te at its relaxed geometry.

Cell: 4.5609 5.4223 5.4223 Å, 90.00 90.00 90.00°
Closest atoms and distances in Å follow each position.
Fractional coordinates of all 5 atoms:
Sc1 0.5000 0.5000 0.5000  8 Ge 3.54, 4 Li 3.83
Ge1 0.0000 0.0000 0.5000  2 Te 2.71
Ge2 0.0000 0.5000 0.0000  2 Te 2.71
Te1 0.0000 0.0000 0.0000  2 Li 2.28
Li1 0.5000 0.0000 0.0000  2 Te 2.28

Results
* total DFT energy (no corrections): -3.929 eV/atom
* uncorrected formation energy: 0.47 eV/atom
* space-group type: P4/mmm (123)

(5)
A plane-wave DFT calculation with PBEsol was carried out for crystalline KReSCl2 at its relaxed geometry.

Cell: 4.4551 4.9981 4.9981 Å, 90.00 90.00 90.00°
Closest atoms and distances in Å follow each position.
Fractional coordinates of all 5 atoms:
Re1 0.0000 0.0000 0.0000  2 S 2.23
K1 0.5000 0.5000 0.5000  8 Cl 3.35, 4 S 3.53
S1 0.5000 0.0000 0.0000  2 Re 2.23
Cl1 0.0000 0.0000 0.5000  2 Re 2.50
Cl2 0.0000 0.5000 0.0000  2 Re 2.50

Results
* total DFT energy (no corrections): -5.127 eV/atom
* uncorrected formation energy: -0.55 eV/atom
* space-group type: P4/mmm (123)

(6)
A plane-wave DFT calculation with PBEsol was carried out for crystalline NaAl3NiCl12 at its relaxed geometry.

Cell: 12.1513 13.3635 12.2424 Å, 105.62 90.00 90.00°
Closest atoms and distances in Å follow each position.
Fractional coordinates of all 68 atoms:
Na1 0.1997 0.7161 0.4979  6 Cl 2.80-2.95
Na2 0.8003 0.2839 0.5021  6 Cl 2.80-2.95
Na3 0.3003 0.7161 0.9979  6 Cl 2.80-2.95
Na4 0.6997 0.2839 0.0021  6 Cl 2.80-2.95
Al1 0.9812 0.2777 0.8147  4 Cl 2.13-2.19
Al2 0.7572 0.0171 0.3652  4 Cl 2.13-2.18
Al3 0.0912 0.3972 0.3342  4 Cl 2.13-2.19
Al4 0.4812 0.7223 0.6853  4 Cl 2.13-2.19
Al5 0.7428 0.0171 0.8652  4 Cl 2.13-2.18
Al6 0.4088 0.3972 0.8342  4 Cl 2.13-2.19
Al7 0.5912 0.6028 0.1658  4 Cl 2.13-2.19
Al8 0.9088 0.6028 0.6658  4 Cl 2.13-2.19
Al9 0.5188 0.2777 0.3147  4 Cl 2.13-2.19
Al10 0.2572 0.9829 0.1348  4 Cl 2.13-2.18
Al11 0.0188 0.7223 0.1853  4 Cl 2.13-2.19
Al12 0.2428 0.9829 0.6348  4 Cl 2.13-2.18
Ni1 0.7315 0.7800 0.7327  6 Cl 2.34-2.42
Ni2 0.2315 0.2200 0.7673  6 Cl 2.34-2.42
Ni3 0.2685 0.2200 0.2673  6 Cl 2.34-2.42
Ni4 0.7685 0.7800 0.2327  6 Cl 2.34-2.42
Cl1 0.1123 0.3561 0.7480  1 Al 2.18, 1 Ni 2.39
Cl2 0.6221 0.7209 0.3251  1 Al 2.19, 1 Ni 2.36
Cl3 0.3333 0.0730 0.7822  1 Al 2.18, 1 Ni 2.37
Cl4 0.8324 0.8869 0.4125  1 Al 2.18, 1 Ni 2.41
Cl5 0.8877 0.6439 0.2520  1 Al 2.18, 1 Ni 2.39
Cl6 0.9212 0.4080 0.3771  1 Al 2.13
Cl7 0.6123 0.6439 0.7520  1 Al 2.18, 1 Ni 2.39
Cl8 0.0885 0.1674 0.8672  1 Al 2.19, 1 Ni 2.34
Cl9 0.1516 0.8926 0.0076  1 Al 2.13
Cl10 0.4212 0.5920 0.1229  1 Al 2.13
Cl11 0.3779 0.2791 0.6749  1 Al 2.19, 1 Ni 2.36
Cl12 0.8779 0.7209 0.8251  1 Al 2.19, 1 Ni 2.36
Cl13 0.3877 0.3561 0.2480  1 Al 2.18, 1 Ni 2.39
Cl14 0.9115 0.8326 0.1328  1 Al 2.19, 1 Ni 2.34
Cl15 0.8438 0.4596 0.6832  1 Al 2.13
Cl16 0.3484 0.8926 0.5076  1 Al 2.13
Cl17 0.1282 0.8048 0.3139  1 Al 2.13
Cl18 0.3081 0.3283 0.9414  1 Al 2.17, 1 Ni 2.42
Cl19 0.3438 0.5404 0.8168  1 Al 2.13
Cl20 0.6919 0.6717 0.0586  1 Al 2.17, 1 Ni 2.42
Cl21 0.1919 0.3283 0.4414  1 Al 2.17, 1 Ni 2.42
Cl22 0.6676 0.8869 0.9125  1 Al 2.18, 1 Ni 2.41
Cl23 0.1211 0.8824 0.6720  1 Al 2.13
Cl24 0.1019 0.6226 0.0446  1 Al 2.13
Cl25 0.1676 0.1131 0.5875  1 Al 2.18, 1 Ni 2.41
Cl26 0.1562 0.5404 0.3168  1 Al 2.13
Cl27 0.1667 0.0730 0.2822  1 Al 2.18, 1 Ni 2.37
Cl28 0.8981 0.3774 0.9554  1 Al 2.13
Cl29 0.3718 0.8048 0.8139  1 Al 2.13
Cl30 0.6211 0.1176 0.8280  1 Al 2.13
Cl31 0.6019 0.3774 0.4554  1 Al 2.13
Cl32 0.8718 0.1952 0.6861  1 Al 2.13
Cl33 0.8484 0.1074 0.9924  1 Al 2.13
Cl34 0.8789 0.1176 0.3280  1 Al 2.13
Cl35 0.4115 0.1674 0.3672  1 Al 2.19, 1 Ni 2.34
Cl36 0.3789 0.8824 0.1720  1 Al 2.13
Cl37 0.3324 0.1131 0.0875  1 Al 2.18, 1 Ni 2.41
Cl38 0.6516 0.1074 0.4924  1 Al 2.13
Cl39 0.8081 0.6717 0.5586  1 Al 2.17, 1 Ni 2.42
Cl40 0.8333 0.9270 0.7178  1 Al 2.18, 1 Ni 2.37
Cl41 0.6562 0.4596 0.1832  1 Al 2.13
Cl42 0.5788 0.4080 0.8771  1 Al 2.13
Cl43 0.5885 0.8326 0.6328  1 Al 2.19, 1 Ni 2.34
Cl44 0.3981 0.6226 0.5446  1 Al 2.13
Cl45 0.6667 0.9270 0.2178  1 Al 2.18, 1 Ni 2.37
Cl46 0.6282 0.1952 0.1861  1 Al 2.13
Cl47 0.1221 0.2791 0.1749  1 Al 2.19, 1 Ni 2.36
Cl48 0.0788 0.5920 0.6229  1 Al 2.13

Results
* total DFT energy (no corrections): -3.958 eV/atom
* uncorrected formation energy: -1.37 eV/atom
* space-group type: P2_1/c (14)

Number 1: M_tot 0.007 μB/atom. Number 2: M_tot 0.000 μB/atom. Number 3: M_tot 0.000 μB/atom. Number 4: M_tot 0.000 μB/atom. Number 5: M_tot 0.210 μB/atom. Number 6: M_tot 0.106 μB/atom.